# GGA-PBE Ni2OsBr, optimized geometry
# Raw formation energy   0.865 eV per atom
# Magnetization   0.77 Bohr magnetons per cell
data_Ni2OsBr
_chemical_formula_sum 'Ni4 Os2 Br2'
_space_group_name_H-M_alt 'C m m m'
_space_group_IT_number 65
_space_group_name_Hall '-C 2 2'
_cell_length_a 5.229
_cell_length_b 7.665
_cell_length_c 2.774
_cell_angle_alpha 90.00
_cell_angle_beta 90.00
_cell_angle_gamma 90.00
loop_
_atom_site_label
_atom_site_type_symbol
_atom_site_fract_x
_atom_site_fract_y
_atom_site_fract_z
_atom_site_occupancy
Ni1 Ni 0.250 0.250 0.000 1
Os1 Os 0.000 0.000 0.500 1
Br1 Br 0.000 0.500 0.500 1